The following is a DFT calculation (SCAN) of Tl2PbSBr at its PBEsol-relaxed geometry.

Geometry as POSCAR:
```
Tl2PbSBr
1.0
5.787 0.000 0.000
0.000 5.787 0.000
0.000 0.000 4.879
Tl Pb S Br
2 1 1 1
Cartesian
0.000 2.894 0.000
2.894 0.000 0.000
0.000 0.000 2.440
2.894 2.894 2.440
2.894 2.894 0.000
```

---

The following is a DFT calculation (SCAN) of SbHCI2 at its PBEsol-relaxed geometry.

Geometry as POSCAR:
```
SbHCI2
1.0
5.410 0.000 0.000
0.000 5.410 0.000
0.000 0.000 4.257
Sb H C I
1 1 1 2
Cartesian
0.000 0.000 0.000
2.705 2.705 0.000
0.000 0.000 2.128
0.000 2.705 2.128
2.705 0.000 2.128
```

---

The following is a DFT calculation (SCAN) of Be2NiSe2 at its PBEsol-relaxed geometry.

Geometry as POSCAR:
```
Be2NiSe2
1.0
6.506 0.000 0.000
0.000 6.506 0.000
0.000 0.000 3.345
Be Ni Se
4 2 4
Cartesian
0.881 2.372 0.000
2.372 5.625 0.000
4.134 0.881 0.000
5.625 4.134 0.000
0.000 0.000 1.673
3.253 3.253 1.673
1.251 4.504 1.673
2.002 1.251 1.673
4.504 5.255 1.673
5.255 2.002 1.673
```

---

The following is a DFT calculation (SCAN) of SrCd2Cl at its PBEsol-relaxed geometry.

Geometry as POSCAR:
```
SrCd2Cl
1.0
0.000 3.735 3.735
3.735 0.000 3.735
3.735 3.735 0.000
Sr Cd Cl
1 2 1
Cartesian
0.000 0.000 0.000
1.867 1.867 1.867
3.735 3.735 3.735
5.602 5.602 5.602
```

---

The following is a DFT calculation (SCAN) of HfMgAgBr2 at its PBEsol-relaxed geometry.

Geometry as POSCAR:
```
HfMgAgBr2
1.0
5.172 0.000 0.000
0.000 5.172 0.000
0.000 0.000 5.434
Hf Mg Ag Br
1 1 1 2
Cartesian
0.000 0.000 0.000
2.586 2.586 0.000
0.000 0.000 2.717
0.000 2.586 2.717
2.586 0.000 2.717
```

---

The following is a DFT calculation (SCAN) of Cr3NiI at its PBEsol-relaxed geometry.

As for the polymorph energy (0 for the lowest one): 0.0 meV per atom.

Geometry as POSCAR:
```
Cr3NiI
1.0
4.582 0.000 0.000
0.000 4.582 0.000
0.000 0.000 4.582
Cr Ni I
3 1 1
Cartesian
0.000 0.000 2.291
0.000 2.291 0.000
2.291 0.000 0.000
0.000 0.000 0.000
2.291 2.291 2.291
```

---

The following is a DFT calculation (SCAN) of SrAsOs2 at its PBEsol-relaxed geometry.

As for the energy of formation from the pure elements: 0.842 eV/atom.

Geometry as POSCAR:
```
SrAsOs2
1.0
4.991 0.000 0.000
0.000 2.729 0.000
-2.042 0.000 5.165
Sr As Os
1 1 2
Cartesian
0.000 0.000 0.000
2.496 1.364 0.000
-1.021 1.364 2.583
1.475 0.000 2.583
```

---

The following is a DFT calculation (SCAN) of K2TcAg at its PBEsol-relaxed geometry.

As for the energy of formation from the pure elements: 1.149 eV/atom.

Geometry as POSCAR:
```
K2TcAg
1.0
2.801 0.000 0.000
0.000 5.305 0.000
0.000 0.000 5.726
K Tc Ag
2 1 1
Cartesian
0.000 0.000 0.000
1.400 2.652 0.000
0.000 2.652 2.863
1.400 0.000 2.863
```

---

The following is a DFT calculation (SCAN) of Cd2TcH at its PBEsol-relaxed geometry.

Geometry as POSCAR:
```
Cd2TcH
1.0
0.000 3.194 3.194
3.194 0.000 3.194
3.194 3.194 0.000
Cd Tc H
2 1 1
Cartesian
1.597 1.597 1.597
4.791 4.791 4.791
0.000 0.000 0.000
3.194 3.194 3.194
```

---

The following is a DFT calculation (SCAN) of KAgAsSe2 at its PBEsol-relaxed geometry.

Geometry as POSCAR:
```
KAgAsSe2
1.0
5.213 0.000 0.000
0.000 5.213 0.000
0.000 0.000 4.862
K Ag As Se
1 1 1 2
Cartesian
0.000 0.000 0.000
2.606 2.606 2.431
2.606 2.606 0.000
0.000 2.606 2.431
2.606 0.000 2.431
```

---

The following is a DFT calculation (SCAN) of ZrCoOs3 at its PBEsol-relaxed geometry.

As for the energy of formation from the pure elements: 1.040 eV/atom.

Geometry as POSCAR:
```
ZrCoOs3
1.0
4.383 0.000 0.000
0.000 4.383 0.000
0.000 0.000 4.383
Zr Co Os
1 1 3
Cartesian
0.000 0.000 0.000
2.192 2.192 2.192
0.000 2.192 2.192
2.192 0.000 2.192
2.192 2.192 0.000
```

---

The following is a DFT calculation (SCAN) of SrTeAu3 at its PBEsol-relaxed geometry.

Geometry as POSCAR:
```
SrTeAu3
1.0
5.418 0.000 0.000
0.000 5.418 0.000
0.000 0.000 5.418
Sr Te Au
1 1 3
Cartesian
0.000 0.000 0.000
2.709 2.709 2.709
0.000 0.000 2.709
0.000 2.709 0.000
2.709 0.000 0.000
```

---

Number 1: total magnetization 0.0 μB/cell, volume 163.4 Å³/cell, final energy -248.02 eV/f.u.. Number 2: total magnetization 1.0 μB/cell, volume 124.6 Å³/cell, final energy -116.92 eV/f.u.. Number 3: total magnetization 0.0 μB/cell, volume 141.6 Å³/cell, final energy -64.09 eV/f.u.. Number 4: total magnetization 0.0 μB/cell, volume 104.2 Å³/cell, final energy -93.77 eV/f.u.. Number 5: total magnetization 0.9 μB/cell, volume 145.3 Å³/cell, final energy -135.07 eV/f.u.. Number 6: total magnetization 13.0 μB/cell, volume 96.2 Å³/cell, final energy -103.72 eV/f.u.. Number 7: total magnetization 0.0 μB/cell, volume 70.3 Å³/cell, final energy -182.86 eV/f.u.. Number 8: total magnetization 0.9 μB/cell, volume 85.1 Å³/cell, final energy -78.49 eV/f.u.. Number 9: total magnetization 3.0 μB/cell, volume 65.2 Å³/cell, final energy -95.00 eV/f.u.. Number 10: total magnetization 0.6 μB/cell, volume 132.1 Å³/cell, final energy -99.77 eV/f.u.. Number 11: total magnetization 3.3 μB/cell, volume 84.2 Å³/cell, final energy -258.44 eV/f.u.. Number 12: total magnetization 0.0 μB/cell, volume 159.1 Å³/cell, final energy -263.13 eV/f.u..